Below is a relaxed Ca4Mn3ZnO8 crystal, with properties calculated at the GGA+U level.

Calculated values
The calculation puts the total magnetic moment at 15.00 μB per cell. Its space-group type is R-3m (166). The value obtained for the density of states at the Fermi level is 0.00 states/eV/cell. The uncorrected energy is -106.99 eV/f.u.

a b c (Å): 6.5247 6.5247 6.5247
angles (deg): 60.89 60.89 60.89
Last column: nearest neighbours and their distance in Å.
Sites, in units of the cell vectors:
Ca 0.0000 0.0000 0.0000  6 O 2.37
Ca 0.0000 0.5000 0.5000  6 O 2.36
Ca 0.5000 0.0000 0.5000  6 O 2.36
Ca 0.5000 0.5000 0.0000  6 O 2.36
Mn 0.0000 0.0000 0.5000  6 O 2.28
Mn 0.0000 0.5000 0.0000  6 O 2.28
Mn 0.5000 0.0000 0.0000  6 O 2.28
Zn 0.5000 0.5000 0.5000  6 O 2.27
O 0.2458 0.2458 0.2458  3 Mn 2.28, 3 Ca 2.36
O 0.2471 0.7443 0.7443  1 Zn 2.27, 2 Mn 2.28, 3 Ca 2.36-2.37
O 0.2557 0.2557 0.7529  1 Zn 2.27, 2 Mn 2.28, 3 Ca 2.36-2.37
O 0.2557 0.7529 0.2557  1 Zn 2.27, 2 Mn 2.28, 3 Ca 2.36-2.37
O 0.7443 0.2471 0.7443  1 Zn 2.27, 2 Mn 2.28, 3 Ca 2.36-2.37
O 0.7443 0.7443 0.2471  1 Zn 2.27, 2 Mn 2.28, 3 Ca 2.36-2.37
O 0.7529 0.2557 0.2557  1 Zn 2.27, 2 Mn 2.28, 3 Ca 2.36-2.37
O 0.7542 0.7542 0.7542  3 Mn 2.28, 3 Ca 2.36